The following is a DFT calculation (GGA-PBE) of a relaxed AlCd2GeAu6 crystal.

Unit cell a=8.289 b=5.685 c=7.896 alpha=56.23 beta=54.37 gamma=95.92
Element x y z (fractional)
Al  0.500  0.500  0.000
Cd  0.241  0.715  0.384
Cd  0.759  0.285  0.616
Ge  0.000  0.000  0.000
Au  0.275  0.777  0.954
Au  0.567  0.488  0.292
Au  0.075  0.994  0.625
Au  0.725  0.223  0.046
Au  0.433  0.512  0.708
Au  0.925  0.006  0.375

Output
V = 19.5 A^3/atom
Spin magnetization = 0.0 μB per cell
ΔH_f (0 K) = -0.0947 eV per atom

The following is a DFT calculation (GGA-PBE) of a relaxed HoAl2CdAu4 crystal.

Unit cell a=4.418 b=4.418 c=9.743 alpha=76.89 beta=76.89 gamma=60.00
Element x y z (fractional)
Ho  0.000  0.000  0.000
Al  0.751  0.751  0.748
Al  0.249  0.249  0.252
Cd  0.500  0.500  0.500
Au  0.391  0.391  0.826
Au  0.884  0.884  0.347
Au  0.116  0.116  0.653
Au  0.609  0.609  0.174

Output
V = 19.9 A^3/atom
Spin magnetization = 0.0 μB per cell
ΔH_f (0 K) = -0.4768 eV per atom

The following is a DFT calculation (GGA-PBE) of a relaxed KAlCd2Au4 crystal.

Unit cell a=4.684 b=4.684 c=10.237 alpha=76.78 beta=76.78 gamma=60.00
Element x y z (fractional)
K  0.000  0.000  0.000
Al  0.500  0.500  0.500
Cd  0.756  0.756  0.732
Cd  0.244  0.244  0.268
Au  0.412  0.412  0.764
Au  0.857  0.857  0.429
Au  0.143  0.143  0.571
Au  0.588  0.588  0.236

Output
V = 23.4 A^3/atom
Spin magnetization = 0.0 μB per cell
ΔH_f (0 K) = -0.2173 eV per atom